Entry 1:
Here is an optimized crystal structure of PmThCd14 from Alexandria via LeMat-Bulk. Energies are from GGA-PBE.

Cell lengths 6.731, 6.731, 8.441 Å; angles 90.00, 90.00, 90.00 degrees
Space group P4/mmm (No. 123)
Inequivalent atoms, fractional coordinates:
Pm 0.000 0.000 0.000 [1 per cell]
Th 0.500 0.500 0.000 [1 per cell]
Cd 0.000 0.000 0.500 [1 per cell]
Cd 0.000 0.500 0.000 [2 per cell]
Cd 0.000 0.500 0.500 [2 per cell]
Cd 0.248 0.248 0.264 [8 per cell]
Cd 0.500 0.500 0.500 [1 per cell]

Output
DOS(E_F) = 8.74 states/eV per cell
calculated formation energy = -1.63 eV per formula unit
calculated density = 8.470 g/cm³

***

Entry 2:
Here is an optimized crystal structure of YHoCo10 from Alexandria via LeMat-Bulk. Energies are from GGA-PBE.

Cell lengths 3.943, 4.916, 8.523 Å; angles 90.00, 90.00, 90.00 degrees
Space group Pmmm (No. 47)
Inequivalent atoms, fractional coordinates:
Y 0.000 0.000 0.000 [1 per cell]
Ho 0.000 0.500 0.500 [1 per cell]
Co 0.000 0.000 0.335 [2 per cell]
Co 0.000 0.500 0.170 [2 per cell]
Co 0.500 0.000 0.500 [1 per cell]
Co 0.500 0.250 0.250 [4 per cell]
Co 0.500 0.500 0.000 [1 per cell]

Output
DOS(E_F) = 18.88 states/eV per cell
calculated formation energy = -1.33 eV per formula unit
calculated density = 8.474 g/cm³